No. 1
An optimized crystal structure of CsTlHg2Se. Source: Alexandria, functional GGA-PBE.

Geometry as POSCAR:
```
CsTlHg2Se
1.0
-2.6723 1.7639 -5.0278
-3.9150 -4.4654 0.5143
-3.5372 3.4574 3.0930
Hg Tl Cs Se
2 1 1 1
Cartesian
-1.3362 0.8819 -2.5139
-1.9575 -2.2327 0.2571
0.0000 0.0000 0.0000
-5.0622 0.3779 -0.7103
-1.7686 1.7287 1.5465
```

Results
Energy relative to the elements, uncorrected (eV per atom): -0.2905
Energy (eV per atom): -1.75
Energy relative to the lowest polymorph listed for this composition (kcal/mol of atoms): 2.15

---

No. 2
An optimized crystal structure of Sm5Dy2Tm12. Source: Alexandria, functional GGA-PBE.

Geometry as POSCAR:
```
Sm5Dy2Tm12
1.0
-5.1841 -6.7231 -3.6050
8.9677 -0.3249 -0.4911
-0.0175 -4.0246 7.5308
Dy Tm Sm
2 12 5
Cartesian
-3.4956 -4.5333 -2.4308
-1.6885 -2.1898 -1.1742
0.9322 -4.0666 6.2435
-1.9353 -8.2740 1.9380
2.8339 -7.0060 -2.8087
-2.3724 -7.5820 -1.8293
-1.8824 -5.1194 0.4553
2.8073 -7.8106 2.9476
0.0315 -5.7233 3.3057
0.9588 -3.2619 0.4871
5.7014 -2.7986 1.4968
5.6485 -5.9532 2.9795
3.7346 -5.3492 0.1291
6.1385 -3.4906 5.2641
0.8306 -7.0684 0.1887
3.7207 -6.1150 6.0536
2.9355 -4.0042 3.2461
-0.0087 -2.0123 3.7654
0.0454 -4.9576 -2.6188
```

Results
Energy (eV per atom): -4.43
Energy relative to the lowest polymorph listed for this composition (kcal/mol of atoms): 2.28
E_form (meV/atom): 122

---

No. 3
An optimized crystal structure of BeV3Hg. Source: Alexandria, functional GGA-PBE.

Geometry as POSCAR:
```
BeV3Hg
1.0
4.1845 0.0000 0.0000
0.0000 4.1845 0.0000
0.0000 0.0000 4.1845
V Be Hg
3 1 1
Cartesian
2.0923 0.0000 0.0000
0.0000 0.0000 2.0923
0.0000 2.0923 0.0000
0.0000 0.0000 0.0000
2.0923 2.0923 2.0923
```

Results
Energy (eV per atom): -5.71
Energy relative to the lowest polymorph listed for this composition (kcal/mol of atoms): 0.00
E_form (meV/atom): 565

---

No. 4
An optimized crystal structure of Hf4SnS8. Source: Alexandria, functional GGA-PBE.

Geometry as POSCAR:
```
Hf4SnS8
1.0
-6.8818 2.6319 -1.9134
-5.9828 -1.3591 4.5062
-3.1414 5.6829 3.9728
Hf S Sn
4 8 1
Cartesian
-9.0467 1.8460 4.7918
-9.5202 3.9482 1.4103
-5.8953 2.5619 2.4182
-7.5500 5.5553 4.5108
-8.3787 1.7553 2.2645
-3.5962 3.5976 2.7401
-6.7451 3.0879 4.8354
-2.1157 0.9194 0.8678
-4.9353 0.2789 2.9915
-9.7507 4.2373 3.9997
-5.3589 2.1597 -0.0339
-7.1377 4.8309 2.0316
-12.0046 5.2168 4.9242
```

Results
Energy relative to the elements, uncorrected (eV per atom): -1.3113
Energy (eV per atom): -7.22
Energy relative to the lowest polymorph listed for this composition (kcal/mol of atoms): 1.82

---

Which of these has the lowest energy relative to the lowest polymorph listed for this composition? BeV3Hg